First-principles (GGA-PBE) data for a relaxed structure of Mn2HRhPb, as listed in Alexandria.

Calculated values
As for the total moment: 6.27 Bohr magnetons per cell. For the total energy, the calculation gives -32.31 eV per cell. As for the theoretical density: 10.6 g/cm³.

Lattice parameters (Å, degrees): 4.044 4.044 4.016 90.00 90.00 90.00
Sites, in units of the cell vectors:
Mn1 0.000 0.500 0.000
Mn2 0.500 0.000 0.000
H1 0.000 0.000 0.000
Rh1 0.000 0.000 0.500
Pb1 0.500 0.500 0.500


First-principles (GGA-PBE) data for a relaxed structure of HfTiInCu, as listed in Alexandria.

Calculated values
As for the total moment: 0.00 Bohr magnetons per cell. For the total energy, the calculation gives -25.08 eV per cell. As for the theoretical density: 9.3 g/cm³.

Lattice parameters (Å, degrees): 3.074 3.074 7.662 90.00 90.00 90.00
Sites, in units of the cell vectors:
Hf1 0.000 0.000 0.000
Ti1 0.000 0.000 0.561
In1 0.500 0.500 0.293
Cu1 0.500 0.500 0.767


First-principles (GGA-PBE) data for a relaxed structure of NaSnNCl2, as listed in Alexandria.

Calculated values
Its formation energy without anion corrections is 0.272 eV/atom. As for the total moment: 2.00 Bohr magnetons per cell. As for the theoretical density: 3.2 g/cm³.

Lattice parameters (Å, degrees): 5.018 5.018 4.605 90.00 90.00 90.00
Sites, in units of the cell vectors:
Na1 0.000 0.000 0.000
Sn1 0.500 0.500 0.500
N1 0.000 0.000 0.500
Cl1 0.000 0.500 0.000
Cl2 0.500 0.000 0.000


First-principles (GGA-PBE) data for a relaxed structure of Pr4NdIn3, as listed in Alexandria.

Calculated values
As for the total moment: 1.71 Bohr magnetons per cell. For the total energy, the calculation gives -34.70 eV per cell. As for the theoretical density: 7.0 g/cm³.

Lattice parameters (Å, degrees): 9.862 9.862 9.862 32.79 32.79 32.79
Sites, in units of the cell vectors:
Pr1 0.115 0.115 0.115
Pr2 0.368 0.368 0.368
Pr3 0.632 0.632 0.632
Pr4 0.885 0.885 0.885
Nd1 0.500 0.500 0.500
In1 0.000 0.000 0.000
In2 0.240 0.240 0.240
In3 0.760 0.760 0.760


First-principles (GGA-PBE) data for a relaxed structure of SrTa2HIr, as listed in Alexandria.

Calculated values
As for the total moment: 0.00 Bohr magnetons per cell. For the total energy, the calculation gives -20.21 eV per cell. As for the theoretical density: 8.8 g/cm³.

Lattice parameters (Å, degrees): 5.022 5.022 4.821 90.00 90.00 90.00
Sites, in units of the cell vectors:
Sr1 0.000 0.000 0.000
Ta1 0.000 0.500 0.000
Ta2 0.500 0.000 0.000
H1 0.500 0.500 0.500
Ir1 0.000 0.000 0.500


First-principles (GGA-PBE) data for a relaxed structure of CaPdNF2, as listed in Alexandria.

Calculated values
Its formation energy without anion corrections is -0.755 eV/atom. As for the total moment: 2.93 Bohr magnetons per cell. The value obtained for the excess energy over the best structure of this formula in the dataset is 0.331 eV/atom. As for the theoretical density: 3.6 g/cm³.

Lattice parameters (Å, degrees): 4.217 4.217 5.136 90.00 90.00 90.00
Sites, in units of the cell vectors:
Ca1 0.000 0.000 0.000
Pd1 0.500 0.500 0.500
N1 0.000 0.000 0.500
F1 0.000 0.500 0.000
F2 0.500 0.000 0.000


First-principles (GGA-PBE) data for a relaxed structure of ZrOs2Ru, as listed in Alexandria.

Calculated values
As for the total moment: 0.00 Bohr magnetons per cell. The value obtained for the excess energy over the best structure of this formula in the dataset is 0.298 eV/atom. As for the theoretical density: 15.0 g/cm³.

Lattice parameters (Å, degrees): 9.597 9.597 9.597 16.67 16.67 16.67
Sites, in units of the cell vectors:
Zr1 0.000 0.000 0.000
Os1 0.242 0.242 0.242
Os2 0.500 0.500 0.500
Ru1 0.757 0.757 0.757


First-principles (GGA-PBE) data for a relaxed structure of KLiTl2, as listed in Alexandria.

Calculated values
As for the total moment: 0.00 Bohr magnetons per cell. The value obtained for the excess energy over the best structure of this formula in the dataset is 0.057 eV/atom. As for the theoretical density: 6.0 g/cm³.

Lattice parameters (Å, degrees): 3.503 4.985 7.239 90.00 93.22 90.00
Sites, in units of the cell vectors:
K1 0.000 0.000 0.000
Li1 0.941 0.500 0.393
Tl1 0.470 0.500 0.730
Tl2 0.478 0.000 0.468


First-principles (GGA-PBE) data for a relaxed structure of Tb4Y3Th, as listed in Alexandria.

Calculated values
As for the total moment: 0.00 Bohr magnetons per cell. The value obtained for the excess energy over the best structure of this formula in the dataset is 0.000 eV/atom. As for the theoretical density: 7.2 g/cm³.

Lattice parameters (Å, degrees): 11.834 11.834 6.774 106.55 106.55 16.78
Sites, in units of the cell vectors:
Tb1 0.123 0.123 0.364
Tb2 0.258 0.258 0.755
Tb3 0.742 0.742 0.245
Tb4 0.877 0.877 0.636
Y1 0.000 0.000 0.500
Y2 0.125 0.125 0.886
Y3 0.875 0.875 0.114
Th1 0.500 0.500 0.000


First-principles (GGA-PBE) data for a relaxed structure of YInSe3, as listed in Alexandria.

Calculated values
Its formation energy without anion corrections is -1.161 eV/atom. As for the total moment: 0.00 Bohr magnetons per cell. The value obtained for the excess energy over the best structure of this formula in the dataset is 0.031 eV/atom. As for the theoretical density: 4.9 g/cm³.

Lattice parameters (Å, degrees): 9.190 9.190 7.298 98.25 98.25 85.56
Sites, in units of the cell vectors:
Y1 0.095 0.905 0.750
Y2 0.265 0.735 0.250
Y3 0.735 0.265 0.750
Y4 0.905 0.095 0.250
In1 0.223 0.407 0.709
In2 0.407 0.223 0.209
In3 0.593 0.777 0.791
In4 0.777 0.593 0.291
Se1 0.026 0.199 0.630
Se2 0.105 0.636 0.894
Se3 0.199 0.026 0.130
Se4 0.287 0.458 0.387
Se5 0.364 0.895 0.606
Se6 0.458 0.287 0.887
Se7 0.542 0.713 0.113
Se8 0.636 0.105 0.394
Se9 0.713 0.542 0.613
Se10 0.801 0.974 0.870
Se11 0.895 0.364 0.106
Se12 0.974 0.801 0.370


First-principles (GGA-PBE) data for a relaxed structure of Ce2PmSm3N6, as listed in Alexandria.

Calculated values
Its formation energy without anion corrections is -1.503 eV/atom. As for the total moment: 0.00 Bohr magnetons per cell. As for the theoretical density: 8.2 g/cm³.

Lattice parameters (Å, degrees): 6.204 6.204 6.198 99.60 99.60 120.01
Sites, in units of the cell vectors:
Ce1 0.167 0.833 0.000
Ce2 0.833 0.167 0.000
Pm1 0.500 0.500 0.000
Sm1 0.000 0.000 0.500
Sm2 0.333 0.667 0.500
Sm3 0.667 0.333 0.500
N1 0.077 0.419 0.757
N2 0.239 0.239 0.244
N3 0.419 0.077 0.757
N4 0.581 0.923 0.243
N5 0.761 0.761 0.756
N6 0.923 0.581 0.243


First-principles (GGA-PBE) data for a relaxed structure of Ac6As2PbSe3, as listed in Alexandria.

Calculated values
Its formation energy without anion corrections is -1.543 eV/atom. As for the total moment: 0.00 Bohr magnetons per cell. As for the theoretical density: 8.0 g/cm³.

Lattice parameters (Å, degrees): 10.215 10.215 9.118 102.38 102.38 25.99
Sites, in units of the cell vectors:
Ac1 0.003 0.003 0.258
Ac2 0.331 0.331 0.422
Ac3 0.331 0.331 0.908
Ac4 0.669 0.669 0.092
Ac5 0.669 0.669 0.578
Ac6 0.997 0.997 0.742
As1 0.169 0.169 0.336
As2 0.831 0.831 0.664
Pb1 0.500 0.500 0.000
Se1 0.166 0.166 0.831
Se2 0.500 0.500 0.500
Se3 0.834 0.834 0.169